1.
CaTcSe2: optimized geometry, GGA-PBE.

Summary:
relative energy among the computed polymorphs: 129 meV/atom
size of the total moment: 0.0 μB per formula unit

Lattice parameters (Å, degrees): 8.346 3.477 6.302 90.00 107.16 90.00
Space group Cm (No. 8)
Inequivalent atoms, fractional coordinates:
Ca: 0.000 0.000 0.000 (multiplicity 2)
Tc: 0.233 0.500 0.431 (multiplicity 2)
Se: 0.233 0.000 0.729 (multiplicity 2)
Se: 0.420 0.000 0.346 (multiplicity 2)



2.
Sm5YEr2Th: optimized geometry, GGA-PBE.

Summary:
formation energy from the elements: 142 kJ/mol of formula units
size of the total moment: 0.0 μB per formula unit

Lattice parameters (Å, degrees): 5.631 20.415 10.525 90.00 90.00 90.00
Space group Cmc2_1 (No. 36)
Inequivalent atoms, fractional coordinates:
Sm: 0.000 0.014 0.000 (multiplicity 4)
Sm: 0.000 0.276 0.706 (multiplicity 4)
Sm: 0.000 0.294 0.313 (multiplicity 4)
Sm: 0.000 0.387 0.993 (multiplicity 4)
Sm: 0.000 0.480 0.275 (multiplicity 4)
Y: 0.000 0.406 0.563 (multiplicity 4)
Er: 0.000 0.113 0.282 (multiplicity 4)
Er: 0.000 0.115 0.707 (multiplicity 4)
Th: 0.000 0.199 0.006 (multiplicity 4)



3.
LiSi2Bi2: optimized geometry, GGA-PBE.

Summary:
relative energy among the computed polymorphs: 0 meV/atom
size of the total moment: 0.0 μB per formula unit

Lattice parameters (Å, degrees): 3.479 3.479 18.763 90.00 90.00 90.00
Space group I4/mmm (No. 139)
Inequivalent atoms, fractional coordinates:
Li: 0.000 0.000 0.000 (multiplicity 2)
Si: 0.000 0.500 0.250 (multiplicity 4)
Bi: 0.000 0.000 0.397 (multiplicity 4)



4.
KMo2W: optimized geometry, GGA-PBE.

Summary:
relative energy among the computed polymorphs: 913 meV/atom
formation energy from the elements: 641 kJ/mol of formula units
size of the total moment: 0.0 μB per formula unit

Lattice parameters (Å, degrees): 6.599 6.599 6.599 90.00 90.00 90.00
Space group F-43m (No. 216)
Inequivalent atoms, fractional coordinates:
K: 0.000 0.000 0.000 (multiplicity 4)
Mo: 0.000 0.000 0.500 (multiplicity 4)
Mo: 0.250 0.250 0.250 (multiplicity 4)
W: 0.250 0.250 0.750 (multiplicity 4)



5.
Sr5AcBi4: optimized geometry, GGA-PBE.

Summary:
formation energy from the elements: -757 kJ/mol of formula units
size of the total moment: 0.9 μB per formula unit

Lattice parameters (Å, degrees): 21.499 5.088 9.118 90.00 115.03 90.00
Space group C2/m (No. 12)
Inequivalent atoms, fractional coordinates:
Sr: 0.000 0.000 0.000 (multiplicity 2)
Sr: 0.168 0.500 0.429 (multiplicity 4)
Sr: 0.168 0.500 0.908 (multiplicity 4)
Ac: 0.000 0.000 0.500 (multiplicity 2)
Bi: 0.000 0.500 0.245 (multiplicity 4)
Bi: 0.197 0.000 0.697 (multiplicity 4)



6.
SrPrPd: optimized geometry, GGA-PBE.

Summary:
relative energy among the computed polymorphs: 81 meV/atom
formation energy from the elements: -119 kJ/mol of formula units
size of the total moment: 0.0 μB per formula unit

Lattice parameters (Å, degrees): 3.751 3.751 13.685 90.00 90.00 90.00
Space group I4mm (No. 107)
Inequivalent atoms, fractional coordinates:
Sr: 0.000 0.000 0.000 (multiplicity 2)
Pr: 0.000 0.000 0.258 (multiplicity 2)
Pd: 0.000 0.000 0.650 (multiplicity 2)



7.
MnFeBSb2: optimized geometry, GGA-PBE.

Summary:
uncorrected energy: -25.377 eV for the cell shown
size of the total moment: 3.0 μB per formula unit

Lattice parameters (Å, degrees): 4.770 4.770 4.614 90.00 90.00 90.00
Space group P4/mmm (No. 123)
Inequivalent atoms, fractional coordinates:
Mn: 0.000 0.000 0.000 (multiplicity 1)
Fe: 0.000 0.000 0.500 (multiplicity 1)
B: 0.500 0.500 0.500 (multiplicity 1)
Sb: 0.000 0.500 0.000 (multiplicity 2)



8.
GaFeAs2: optimized geometry, GGA-PBE.

Summary:
formation energy from the elements: 31 kJ/mol of formula units
size of the total moment: 0.6 μB per formula unit

Lattice parameters (Å, degrees): 6.824 7.837 6.347 90.00 90.00 90.00
Space group Pna2_1 (No. 33)
Inequivalent atoms, fractional coordinates:
Ga: 0.088 0.124 0.000 (multiplicity 4)
Fe: 0.077 0.622 0.987 (multiplicity 4)
As: 0.070 0.611 0.344 (multiplicity 4)
As: 0.101 0.143 0.399 (multiplicity 4)



9.
ScSeNO2: optimized geometry, GGA-PBE.

Summary:
uncorrected energy: -29.071 eV for the cell shown
size of the total moment: 0.5 μB per formula unit

Lattice parameters (Å, degrees): 3.983 3.983 4.401 90.00 90.00 90.00
Space group P4/mmm (No. 123)
Inequivalent atoms, fractional coordinates:
Sc: 0.000 0.000 0.000 (multiplicity 1)
Se: 0.500 0.500 0.500 (multiplicity 1)
N: 0.000 0.000 0.500 (multiplicity 1)
O: 0.000 0.500 0.000 (multiplicity 2)



10.
SrScOs2: optimized geometry, GGA-PBE.

Summary:
formation energy from the elements: 279 kJ/mol of formula units
size of the total moment: 0.0 μB per formula unit

Lattice parameters (Å, degrees): 3.242 4.672 4.906 90.00 90.00 90.00
Space group Pmmm (No. 47)
Inequivalent atoms, fractional coordinates:
Sr: 0.000 0.000 0.000 (multiplicity 1)
Sc: 0.500 0.000 0.500 (multiplicity 1)
Os: 0.000 0.500 0.500 (multiplicity 1)
Os: 0.500 0.500 0.000 (multiplicity 1)



11.
V5Mo4Pd: optimized geometry, GGA-PBE.

Summary:
formation energy from the elements: -116 kJ/mol of formula units
size of the total moment: 0.8 μB per formula unit

Lattice parameters (Å, degrees): 3.089 3.089 15.300 90.00 90.00 90.00
Space group P4/mmm (No. 123)
Inequivalent atoms, fractional coordinates:
V: 0.000 0.000 0.000 (multiplicity 1)
V: 0.000 0.000 0.200 (multiplicity 2)
V: 0.000 0.000 0.394 (multiplicity 2)
Mo: 0.500 0.500 0.100 (multiplicity 2)
Mo: 0.500 0.500 0.301 (multiplicity 2)
Pd: 0.500 0.500 0.500 (multiplicity 1)



12.
Co7Ni3: optimized geometry, GGA-PBE.

Summary:
relative energy among the computed polymorphs: 0 meV/atom
formation energy from the elements: 4 kJ/mol of formula units
size of the total moment: 13.8 μB per formula unit

Lattice parameters (Å, degrees): 3.544 3.544 17.379 90.00 90.00 90.00
Space group Amm2 (No. 38)
Inequivalent atoms, fractional coordinates:
Co: 0.000 0.000 0.000 (multiplicity 2)
Co: 0.000 0.000 0.200 (multiplicity 2)
Co: 0.000 0.000 0.400 (multiplicity 2)
Co: 0.000 0.000 0.601 (multiplicity 2)
Co: 0.500 0.000 0.100 (multiplicity 2)
Co: 0.500 0.000 0.301 (multiplicity 2)
Co: 0.500 0.000 0.701 (multiplicity 2)
Ni: 0.000 0.000 0.801 (multiplicity 2)
Ni: 0.500 0.000 0.500 (multiplicity 2)
Ni: 0.500 0.000 0.900 (multiplicity 2)



Question: Which value of size of the total moment does entry 5 give?
Answer: 0.9 μB per formula unit



Question: Among the records above, which one has the highest size of the total moment?
Answer: Co7Ni3



Question: What is the formula in the fourth record?
Answer: KMo2W



Question: What is the formula in the fifth record?
Answer: Sr5AcBi4